--- a ---
{
  "formula": "TlTc3N",
  "functional": "PBE-GGA",
  "state": "optimized geometry",
  "lattice": [[4.155, 0.000, 0.000], [0.000, 4.155, 0.000], [0.000, 0.000, 4.155]],
  "species": ["Tc", "Tc", "Tc", "Tl", "N"],
  "frac_coords": [[0.000, 0.000, 0.500], [0.000, 0.500, 0.000], [0.500, 0.000, 0.000], [0.500, 0.500, 0.500], [0.000, 0.000, 0.000]],
  "mass_density_g_cm3": 11.862,
  "sg": "No. 221"
}

=====

--- b ---
{
  "formula": "TlTc3N",
  "functional": "PBE-GGA",
  "state": "optimized geometry",
  "lattice": [[-3.800, -3.078, 1.708], [2.227, -0.156, 4.674], [-2.727, 4.163, 1.438]],
  "species": ["Tc", "Tc", "Tc", "N", "Tl"],
  "frac_coords": [[0.000, 0.000, 0.500], [0.500, 0.000, 0.000], [0.000, 0.500, 0.000], [0.500, 0.500, 0.500], [0.000, 0.000, 0.000]],
  "mass_density_g_cm3": 6.122,
  "sg": "No. 221"
}

=====

Of them, a has the highest stability.

=====

--- a ---
{
  "formula": "U2TcN",
  "functional": "PBE-GGA",
  "state": "optimized geometry",
  "lattice": [[5.224, 0.000, 0.000], [2.612, 4.524, 0.000], [2.612, 1.508, 3.025]],
  "species": ["U", "U", "N", "Tc"],
  "frac_coords": [[0.228, 0.228, 0.317], [0.772, 0.772, 0.683], [0.000, 0.000, 0.000], [0.500, 0.500, 0.500]],
  "mass_density_g_cm3": 13.657,
  "sg": "No. 166"
}

=====

--- b ---
{
  "formula": "U2TcN",
  "functional": "PBE-GGA",
  "state": "optimized geometry",
  "lattice": [[-2.554, 0.899, -1.199], [0.365, -1.925, -2.220], [-3.468, -4.921, 3.696]],
  "species": ["U", "U", "N", "Tc"],
  "frac_coords": [[0.000, 0.000, 0.786], [0.000, 0.000, 0.214], [0.500, 0.500, 0.000], [0.500, 0.500, 0.500]],
  "mass_density_g_cm3": 15.768,
  "sg": "No. 123"
}

=====

Of them, b has the highest stability.

=====

--- a ---
{
  "formula": "V3TcN",
  "functional": "PBE-GGA",
  "state": "optimized geometry",
  "lattice": [[3.934, 0.000, 0.000], [0.000, 3.934, 0.000], [0.000, 0.000, 3.934]],
  "species": ["N", "Tc", "V", "V", "V"],
  "frac_coords": [[0.000, 0.000, 0.000], [0.500, 0.500, 0.500], [0.000, 0.000, 0.500], [0.500, 0.000, 0.000], [0.000, 0.500, 0.000]],
  "mass_density_g_cm3": 7.224,
  "sg": "No. 221"
}

=====

--- b ---
{
  "formula": "V3TcN",
  "functional": "PBE-GGA",
  "state": "optimized geometry",
  "lattice": [[4.491, 0.000, 0.000], [0.000, 4.491, 0.000], [0.000, 0.000, 4.491]],
  "species": ["Tc", "V", "V", "V", "N"],
  "frac_coords": [[0.000, 0.000, 0.000], [0.000, 0.000, 0.500], [0.000, 0.500, 0.000], [0.500, 0.000, 0.000], [0.500, 0.500, 0.500]],
  "mass_density_g_cm3": 4.856,
  "sg": "No. 221"
}

=====

Of them, a has the highest stability.

=====

--- a ---
{
  "formula": "VTc3N",
  "functional": "PBE-GGA",
  "state": "optimized geometry",
  "lattice": [[4.442, 0.000, 0.000], [0.000, 4.442, 0.000], [0.000, 0.000, 4.442]],
  "species": ["Tc", "Tc", "Tc", "V", "N"],
  "frac_coords": [[0.000, 0.500, 0.000], [0.500, 0.000, 0.000], [0.000, 0.000, 0.500], [0.000, 0.000, 0.000], [0.500, 0.500, 0.500]],
  "mass_density_g_cm3": 6.799,
  "sg": "No. 221"
}

=====

--- b ---
{
  "formula": "VTc3N",
  "functional": "PBE-GGA",
  "state": "optimized geometry",
  "lattice": [[4.024, 0.000, 0.000], [0.000, 4.024, 0.000], [0.000, 0.000, 4.024]],
  "species": ["N", "Tc", "Tc", "Tc", "V"],
  "frac_coords": [[0.000, 0.000, 0.000], [0.000, 0.000, 0.500], [0.500, 0.000, 0.000], [0.000, 0.500, 0.000], [0.500, 0.500, 0.500]],
  "mass_density_g_cm3": 9.146,
  "sg": "No. 221"
}

=====

Of them, b has the highest stability.

=====

--- a ---
{
  "formula": "Tc3WN",
  "functional": "PBE-GGA",
  "state": "optimized geometry",
  "lattice": [[4.050, 0.000, 0.000], [0.000, 4.050, 0.000], [0.000, 0.000, 4.050]],
  "species": ["N", "Tc", "Tc", "Tc", "W"],
  "frac_coords": [[0.000, 0.000, 0.000], [0.000, 0.500, 0.000], [0.500, 0.000, 0.000], [0.000, 0.000, 0.500], [0.500, 0.500, 0.500]],
  "mass_density_g_cm3": 12.293,
  "sg": "No. 221"
}

=====

--- b ---
{
  "formula": "Tc3WN",
  "functional": "PBE-GGA",
  "state": "optimized geometry",
  "lattice": [[-1.681, -1.711, -4.072], [-3.456, -2.204, 2.353], [-2.750, 3.815, -0.467]],
  "species": ["Tc", "Tc", "Tc", "W", "N"],
  "frac_coords": [[0.000, 0.000, 0.500], [0.500, 0.000, 0.000], [0.000, 0.500, 0.000], [0.000, 0.000, 0.000], [0.500, 0.500, 0.500]],
  "mass_density_g_cm3": 7.737,
  "sg": "No. 221"
}

=====

Of them, a has the highest stability.

=====

--- a ---
{
  "formula": "TcW3N",
  "functional": "PBE-GGA",
  "state": "optimized geometry",
  "lattice": [[-2.348, 3.181, 1.148], [-0.516, -1.718, 3.705], [3.342, 1.969, 1.379]],
  "species": ["W", "W", "W", "Tc", "N"],
  "frac_coords": [[0.000, 0.500, 0.000], [0.000, 0.000, 0.500], [0.500, 0.000, 0.000], [0.500, 0.500, 0.500], [0.000, 0.000, 0.000]],
  "mass_density_g_cm3": 15.794,
  "sg": "No. 221"
}

=====

--- b ---
{
  "formula": "TcW3N",
  "functional": "PBE-GGA",
  "state": "optimized geometry",
  "lattice": [[4.686, 0.000, 0.000], [0.000, 4.686, 0.000], [0.000, 0.000, 4.686]],
  "species": ["W", "W", "W", "N", "Tc"],
  "frac_coords": [[0.000, 0.500, 0.000], [0.500, 0.000, 0.000], [0.000, 0.000, 0.500], [0.500, 0.500, 0.500], [0.000, 0.000, 0.000]],
  "mass_density_g_cm3": 10.705,
  "sg": "No. 221"
}

=====

Of them, a has the highest stability.

=====

--- a ---
{
  "formula": "Zn3TcN",
  "functional": "PBE-GGA",
  "state": "optimized geometry",
  "lattice": [[4.981, 0.000, 0.000], [0.000, 4.981, 0.000], [0.000, 0.000, 4.981]],
  "species": ["Tc", "N", "Zn", "Zn", "Zn"],
  "frac_coords": [[0.000, 0.000, 0.000], [0.500, 0.500, 0.500], [0.000, 0.000, 0.500], [0.500, 0.000, 0.000], [0.000, 0.500, 0.000]],
  "mass_density_g_cm3": 4.142,
  "sg": "No. 221"
}

=====

--- b ---
{
  "formula": "Zn3TcN",
  "functional": "PBE-GGA",
  "state": "optimized geometry",
  "lattice": [[-1.783, 2.067, -3.049], [-3.303, -2.398, 0.306], [-1.632, 2.594, 2.713]],
  "species": ["Zn", "Zn", "Zn", "Tc", "N"],
  "frac_coords": [[0.000, 0.000, 0.500], [0.000, 0.500, 0.000], [0.500, 0.000, 0.000], [0.500, 0.500, 0.500], [0.000, 0.000, 0.000]],
  "mass_density_g_cm3": 7.466,
  "sg": "No. 221"
}

=====

Of them, b has the highest stability.

=====

--- a ---
{
  "formula": "ZnTcN",
  "functional": "PBE-GGA",
  "state": "optimized geometry",
  "lattice": [[2.969, 0.000, 0.000], [0.000, 4.960, 0.000], [0.000, 0.000, 10.125]],
  "species": ["Tc", "Tc", "Tc", "Tc", "N", "N", "N", "N", "Zn", "Zn", "Zn", "Zn"],
  "frac_coords": [[0.250, 0.649, 0.242], [0.750, 0.351, 0.758], [0.250, 0.851, 0.742], [0.750, 0.149, 0.258], [0.750, 0.666, 0.636], [0.250, 0.166, 0.864], [0.250, 0.334, 0.364], [0.750, 0.834, 0.136], [0.750, 0.778, 0.452], [0.750, 0.722, 0.952], [0.250, 0.278, 0.048], [0.250, 0.222, 0.548]],
  "mass_density_g_cm3": 7.903,
  "sg": "No. 62"
}

=====

--- b ---
{
  "formula": "ZnTcN",
  "functional": "PBE-GGA",
  "state": "optimized geometry",
  "lattice": [[-3.592, -4.330, 0.263], [1.732, -1.320, 1.914], [-1.866, 7.347, 6.758]],
  "species": ["N", "N", "N", "N", "Tc", "Tc", "Tc", "Tc", "Zn", "Zn", "Zn", "Zn"],
  "frac_coords": [[0.736, 0.500, 0.649], [0.264, 0.500, 0.351], [0.736, 0.000, 0.149], [0.264, 0.000, 0.851], [0.992, 0.500, 0.144], [0.008, 0.000, 0.356], [0.992, 0.000, 0.644], [0.008, 0.500, 0.856], [0.645, 0.500, 0.401], [0.355, 0.000, 0.099], [0.645, 0.000, 0.901], [0.355, 0.500, 0.599]],
  "mass_density_g_cm3": 7.784,
  "sg": "No. 12"
}

=====

--- c ---
{
  "formula": "ZnTcN",
  "functional": "PBE-GGA",
  "state": "optimized geometry",
  "lattice": [[4.192, 0.000, 0.001], [0.000, 3.292, 0.000], [-0.040, 0.000, 5.700]],
  "species": ["N", "N", "Tc", "Tc", "Zn", "Zn"],
  "frac_coords": [[0.413, 0.000, 0.384], [0.413, 0.500, 0.884], [0.519, 0.000, 0.051], [0.519, 0.500, 0.551], [0.010, 0.500, 0.221], [0.010, 0.000, 0.721]],
  "mass_density_g_cm3": 7.490,
  "sg": "No. 8"
}

=====

Of them, b has the highest stability.

=====

--- a ---
{
  "formula": "ZnTcN",
  "functional": "PBE-GGA",
  "state": "optimized geometry",
  "lattice": [[2.823, -0.017, -0.010], [-0.158, 4.701, 0.012], [-0.162, -1.305, 5.396]],
  "species": ["Tc", "Tc", "N", "N", "Zn", "Zn"],
  "frac_coords": [[0.727, 0.260, 0.930], [0.273, 0.740, 0.070], [0.227, 0.431, 0.734], [0.773, 0.569, 0.266], [0.240, 0.808, 0.595], [0.760, 0.192, 0.405]],
  "mass_density_g_cm3": 8.227,
  "sg": "No. 2"
}

=====

--- b ---
{
  "formula": "ZnTcN",
  "functional": "PBE-GGA",
  "state": "optimized geometry",
  "lattice": [[4.366, 0.000, 0.000], [0.000, 2.884, 0.000], [-0.533, 0.000, 5.751]],
  "species": ["Tc", "Tc", "Zn", "Zn", "N", "N"],
  "frac_coords": [[0.802, 0.250, 0.377], [0.198, 0.750, 0.623], [0.254, 0.250, 0.026], [0.746, 0.750, 0.974], [0.725, 0.750, 0.617], [0.275, 0.250, 0.383]],
  "mass_density_g_cm3": 8.137,
  "sg": "No. 11"
}

=====

--- c ---
{
  "formula": "ZnTcN",
  "functional": "PBE-GGA",
  "state": "optimized geometry",
  "lattice": [[2.773, 0.008, -0.004], [1.377, 2.462, -0.002], [0.010, 0.031, 5.422]],
  "species": ["N", "Zn", "Tc"],
  "frac_coords": [[0.488, 0.858, 0.361], [0.485, 0.865, 0.994], [0.815, 0.206, 0.587]],
  "mass_density_g_cm3": 7.975,
  "sg": "No. 8"
}

=====

Of them, c has the highest stability.

=====

--- a ---
{
  "formula": "Zn2Tc2N",
  "functional": "PBE-GGA",
  "state": "optimized geometry",
  "lattice": [[5.437, 0.000, 0.000], [0.000, 5.437, 0.000], [0.000, 0.000, 4.604]],
  "species": ["Tc", "Tc", "Tc", "Tc", "Zn", "Zn", "Zn", "Zn", "N", "N"],
  "frac_coords": [[0.343, 0.157, 0.500], [0.657, 0.843, 0.500], [0.843, 0.343, 0.500], [0.157, 0.657, 0.500], [0.158, 0.342, 0.000], [0.658, 0.158, 0.000], [0.842, 0.658, 0.000], [0.342, 0.842, 0.000], [0.000, 0.000, 0.000], [0.500, 0.500, 0.000]],
  "mass_density_g_cm3": 8.316,
  "sg": "No. 127"
}

=====

--- b ---
{
  "formula": "Zn2Tc2N",
  "functional": "PBE-GGA",
  "state": "optimized geometry",
  "lattice": [[3.392, 0.000, 0.000], [0.000, 3.392, 0.000], [1.696, 1.696, 6.868]],
  "species": ["Zn", "Zn", "Tc", "Tc", "N"],
  "frac_coords": [[0.588, 0.588, 0.824], [0.412, 0.412, 0.176], [0.750, 0.250, 0.500], [0.250, 0.750, 0.500], [0.000, 0.000, 0.000]],
  "mass_density_g_cm3": 7.161,
  "sg": "No. 139"
}

=====

Of them, a has the highest stability.

=====

--- a ---
{
  "formula": "ZrTcN",
  "functional": "PBE-GGA",
  "state": "optimized geometry",
  "lattice": [[3.228, 0.000, 0.000], [0.000, 3.228, 0.000], [0.000, 0.000, 4.009]],
  "species": ["N", "Tc", "Zr"],
  "frac_coords": [[0.500, 0.500, 0.500], [0.500, 0.500, 0.000], [0.000, 0.000, 0.500]],
  "mass_density_g_cm3": 8.076,
  "sg": "No. 123"
}

=====

--- b ---
{
  "formula": "ZrTcN",
  "functional": "PBE-GGA",
  "state": "optimized geometry",
  "lattice": [[-7.191, 3.393, 0.363], [-0.416, -0.182, -6.543], [-1.344, -2.867, 0.165]],
  "species": ["Zr", "Zr", "Zr", "Zr", "N", "N", "N", "N", "Tc", "Tc", "Tc", "Tc"],
  "frac_coords": [[0.714, 0.500, 0.000], [0.286, 0.500, 0.000], [0.786, 0.000, 0.000], [0.214, 0.000, 0.000], [0.250, 0.750, 0.500], [0.250, 0.250, 0.500], [0.750, 0.750, 0.500], [0.750, 0.250, 0.500], [0.500, 0.198, 0.500], [0.000, 0.302, 0.500], [0.000, 0.698, 0.500], [0.500, 0.802, 0.500]],
  "mass_density_g_cm3": 8.156,
  "sg": "No. 65"
}

=====

--- c ---
{
  "formula": "ZrTcN",
  "functional": "PBE-GGA",
  "state": "optimized geometry",
  "lattice": [[-0.914, -3.675, 3.498], [-0.104, -2.185, -2.324], [10.020, -1.541, 0.999]],
  "species": ["N", "N", "N", "N", "Zr", "Zr", "Zr", "Zr", "Tc", "Tc", "Tc", "Tc"],
  "frac_coords": [[0.250, 0.250, 0.250], [0.750, 0.250, 0.250], [0.750, 0.750, 0.750], [0.250, 0.750, 0.750], [0.000, 0.750, 0.354], [0.500, 0.750, 0.146], [0.500, 0.250, 0.854], [0.000, 0.250, 0.646], [0.500, 0.750, 0.591], [0.000, 0.250, 0.091], [0.000, 0.750, 0.909], [0.500, 0.250, 0.409]],
  "mass_density_g_cm3": 8.054,
  "sg": "No. 74"
}

=====

--- d ---
{
  "formula": "ZrTcN",
  "functional": "PBE-GGA",
  "state": "optimized geometry",
  "lattice": [[-1.317, 2.365, -1.660], [5.487, -3.430, -9.241], [-3.514, -2.714, -1.079]],
  "species": ["Tc", "Tc", "Tc", "Tc", "N", "N", "N", "N", "Zr", "Zr", "Zr", "Zr"],
  "frac_coords": [[0.500, 0.436, 0.750], [0.500, 0.564, 0.250], [0.000, 0.064, 0.250], [0.000, 0.936, 0.750], [0.000, 0.318, 0.750], [0.000, 0.682, 0.250], [0.500, 0.182, 0.250], [0.500, 0.818, 0.750], [0.500, 0.827, 0.250], [0.000, 0.327, 0.250], [0.500, 0.173, 0.750], [0.000, 0.673, 0.750]],
  "mass_density_g_cm3": 8.249,
  "sg": "No. 63"
}

=====

Of them, b has the highest stability.